# Li3Co2Si2O8, optimized geometry, DFT PBE+U
# Uncorrected energy = -96.98 eV/f.u.
# Magnetic moment = 7.00 μB per formula unit
# Energy above the most stable polymorph in this dataset = 39 meV/atom
# Crystal system = monoclinic
data_Li3Co2Si2O8
_chemical_formula_sum 'Li6 Co4 Si4 O16'
_space_group_name_H-M_alt 'C 1 m 1'
_space_group_IT_number 8
_cell_length_a 7.324
_cell_length_b 7.513
_cell_length_c 6.465
_cell_angle_alpha 90.00
_cell_angle_beta 90.98
_cell_angle_gamma 90.00
loop_
_space_group_symop_operation_xyz
'x,y,z'
'x,-y,z'
'x+1/2,y+1/2,z'
'x+1/2,-y+1/2,z'
loop_
_atom_site_label
_atom_site_fract_x
_atom_site_fract_y
_atom_site_fract_z
Li1 0.000 0.000 0.000
Li2 0.319 0.176 0.238
Co1 0.316 0.193 0.728
Si1 0.130 0.500 0.989
Si2 0.494 0.500 0.476
O1 0.006 0.500 0.187
O2 0.115 0.000 0.270
O3 0.127 0.000 0.696
O4 0.273 0.327 0.973
O5 0.369 0.319 0.490
O6 0.494 0.000 0.777